Compound: Li3B2SbO6
Source: Alexandria via LeMat-Bulk
Functional: PBE
Structure: optimized geometry

abc: 8.3156 5.1796 12.9444
angles: 67.44 90.00 90.00
Last column: nearest neighbours and their distance in Å.
Fractional coordinates of all 48 atoms:
Sb1 0.0658 0.9438 0.3917  4 O 2.07-2.32
Sb2 0.9342 0.0562 0.6083  4 O 2.07-2.32
Sb3 0.5658 0.0562 0.1083  4 O 2.07-2.32
Sb4 0.4342 0.9438 0.8917  4 O 2.07-2.32
O1 0.3408 0.2646 0.1546  1 B 1.36
O2 0.9487 0.7110 0.0887  1 B 1.38
O3 0.3354 0.3462 0.8595  1 B 1.41
O4 0.4487 0.2890 0.4113  1 B 1.38
O5 0.5513 0.7110 0.5887  1 B 1.38
O6 0.6060 0.0172 0.2718  1 B 1.41
O7 0.0513 0.2890 0.9113  1 B 1.38
O8 0.1646 0.3462 0.3595  1 B 1.41
O9 0.7043 0.3293 0.5750  1 B 1.40
O10 0.6569 0.2023 0.8303  1 B 1.39
O11 0.8940 0.0172 0.7718  1 B 1.41
O12 0.8408 0.7354 0.3454  1 B 1.36
O13 0.8431 0.2023 0.3303  1 B 1.39
O14 0.2957 0.6707 0.4250  1 B 1.40
O15 0.7957 0.3293 0.0750  1 B 1.40
O16 0.1060 0.9828 0.2282  1 B 1.41
O17 0.3431 0.7977 0.1697  1 B 1.39
O18 0.6646 0.6538 0.1405  1 B 1.41
O19 0.6592 0.7354 0.8454  1 B 1.36
O20 0.1569 0.7977 0.6697  1 B 1.39
O21 0.3940 0.9828 0.7282  1 B 1.41
O22 0.1592 0.2646 0.6546  1 B 1.36
O23 0.8354 0.6538 0.6405  1 B 1.41
O24 0.2043 0.6707 0.9250  1 B 1.40
Li1 0.0242 0.4272 0.7350  4 O 1.93-2.13
Li2 0.0230 0.9036 0.9187  4 O 1.91-2.13
Li3 0.9770 0.0964 0.0813  4 O 1.91-2.13
Li4 0.4758 0.4272 0.2350  4 O 1.93-2.13
Li5 0.5230 0.0964 0.5813  4 O 1.91-2.13
Li6 0.4770 0.9036 0.4187  4 O 1.91-2.13
Li7 0.1980 0.5868 0.0959  4 O 1.95-2.16
Li8 0.8020 0.4132 0.9041  4 O 1.95-2.16
Li9 0.3020 0.5868 0.5959  4 O 1.95-2.16
Li10 0.5242 0.5728 0.7650  4 O 1.93-2.13
Li11 0.6980 0.4132 0.4041  4 O 1.95-2.16
Li12 0.9758 0.5728 0.2650  4 O 1.93-2.13
B1 0.7646 0.9874 0.3123  3 O 1.36-1.41
B2 0.1950 0.4325 0.8989  3 O 1.38-1.41
B3 0.2646 0.0126 0.1877  3 O 1.36-1.41
B4 0.2354 0.0126 0.6877  3 O 1.36-1.41
B5 0.3050 0.4325 0.3989  3 O 1.38-1.41
B6 0.8050 0.5675 0.1011  3 O 1.38-1.41
B7 0.6950 0.5675 0.6011  3 O 1.38-1.41
B8 0.7354 0.9874 0.8123  3 O 1.36-1.41

## Properties
spin magnetization: 0.00 Bohr magnetons per cell
uncorrected energy: -0.238 hartree per atom
energy relative to the elements, uncorrected: -2067.6 meV/atom
crystal system: monoclinic


Compound: IrPbO2
Source: Alexandria via LeMat-Bulk
Functional: PBE
Structure: optimized geometry

abc: 4.5370 4.5370 7.0950
angles: 71.35 71.35 90.00
Last column: nearest neighbours and their distance in Å.
Fractional coordinates of all 8 atoms:
Pb1 0.7500 0.2500 0.5000  4 O 2.52
Pb2 0.0000 0.0000 0.0000  4 O 2.52
O1 0.3750 0.4765 0.7500  2 Ir 2.06
O2 0.8750 0.7735 0.7500  2 Ir 2.06
O3 0.2265 0.6250 0.2500  2 Ir 2.06
O4 0.5235 0.1250 0.2500  2 Ir 2.06
Ir1 0.5000 0.5000 0.0000  4 O 2.06
Ir2 0.2500 0.7500 0.5000  4 O 2.06

## Properties
spin magnetization: 0.00 Bohr magnetons per cell
uncorrected energy: -0.213 hartree per atom
energy relative to the elements, uncorrected: -171.3 meV/atom
crystal system: tetragonal